This record from Alexandria describes Ca2CeSi3Au12 after structural relaxation. The functional is GGA-PBE.

Computed properties:
The value obtained for the formation energy (no corrections) is -184 meV/atom. Its crystal system is trigonal. Its space group is R-3m (166).

POSCAR file:
```
Ca2CeSi3Au12
1.0
7.8868 -0.5797 -0.4112
3.3909 7.1442 -0.4112
3.3909 1.9738 6.8784
Au Si Ca Ce
12 3 2 1
Direct
0.1506 0.6963 0.6963 Au
0.4093 0.8414 0.8414 Au
0.1586 0.1586 0.5907 Au
0.6963 0.1506 0.6963 Au
0.3037 0.8494 0.3037 Au
0.5907 0.1586 0.1586 Au
0.8414 0.4093 0.8414 Au
0.6963 0.6963 0.1506 Au
0.8414 0.8414 0.4093 Au
0.3037 0.3037 0.8494 Au
0.8494 0.3037 0.3037 Au
0.1586 0.5907 0.1586 Au
0.5000 0.0000 0.0000 Si
0.0000 0.5000 0.0000 Si
0.0000 0.0000 0.5000 Si
0.5921 0.5921 0.5921 Ca
0.4079 0.4079 0.4079 Ca
0.0000 0.0000 0.0000 Ce
```


This record from Alexandria describes BaFeReP2 after structural relaxation. The functional is GGA-PBE.

Computed properties:
Its calculated formation energy is -0.655 eV/atom. Its crystal system is tetragonal. Its space group is I-4m2 (119).

POSCAR file:
```
BaFeReP2
1.0
-3.0091 -1.4583 -2.0448
2.5019 -2.0200 -2.2412
-0.1065 -3.2157 6.2067
Re Fe Ba P
1 1 1 2
Direct
0.2500 0.7500 0.5000 Re
0.7500 0.2500 0.5000 Fe
0.0000 0.0000 0.0000 Ba
0.6518 0.6518 0.3037 P
0.3482 0.3482 0.6963 P
```


This record from Alexandria describes Be5AgPd4 after structural relaxation. The functional is GGA-PBE.

Computed properties:
Its calculated formation energy is -0.436 eV/atom. Its crystal system is tetragonal. Its space group is P4/mmm (123).

POSCAR file:
```
Be5AgPd4
1.0
2.8344 0.0000 0.0000
0.0000 2.8344 0.0000
0.0000 0.0000 14.5730
Be Pd Ag
5 4 1
Direct
0.5000 0.5000 0.5000 Be
0.5000 0.5000 0.8844 Be
0.5000 0.5000 0.6960 Be
0.5000 0.5000 0.1156 Be
0.5000 0.5000 0.3040 Be
0.0000 0.0000 0.2074 Pd
0.0000 0.0000 0.5972 Pd
0.0000 0.0000 0.7926 Pd
0.0000 0.0000 0.4028 Pd
0.0000 0.0000 0.0000 Ag
```


| no. | Fermi-level density of states (states/eV/cell) |
| --- | --- |
| 1 | 10.95 |
| 2 | 4.17 |
| 3 | 3.41 |